Record 1
4
Lattice="5.154 0.000 0.000 2.577 4.464 0.000 2.577 1.488 4.208" Properties=species:S:1:pos:R:3 comment="LaHoCoHg, optimized geometry, DFT PBE-GGA" dos_ef_per_ev_fu=3.3 e_form_ev_per_atom=-0.16 space_group="F-43m, No. 216" pbc="T T T"
La 5.154 2.976 2.104
Co 2.577 1.488 1.052
Hg 7.731 4.464 3.156
Ho 0.000 0.000 0.000


Record 2
4
Lattice="-0.518 3.337 5.098 4.005 -0.743 4.561 4.093 4.377 1.218" Properties=species:S:1:pos:R:3 comment="CsAcBi2, optimized geometry, DFT PBE-GGA" dos_ef_per_ev_fu=5.8 e_form_ev_per_atom=-0.32 space_group="Fm-3m, No. 225" pbc="T T T"
Cs 3.790 3.485 5.439
Ac 0.000 0.000 0.000
Bi 1.895 1.743 2.719
Bi 5.685 5.228 8.158


Record 3
9
Lattice="4.861 0.000 0.000 -2.431 6.640 -1.784 0.000 -2.755 7.610" Properties=species:S:1:pos:R:3 comment="Th5Si2C2, optimized geometry, DFT PBE-GGA" dos_ef_per_ev_fu=5.8 e_form_raw_ev_per_atom=-0.27 space_group="C2/m, No. 12" pbc="T T T"
Th 0.000 4.447 -0.363
Th 2.431 -0.563 6.189
Th 0.000 0.292 3.382
Th 2.431 3.593 2.444
Th 0.000 0.000 0.000
Si 0.000 3.083 4.269
Si 2.431 0.802 1.557
C 0.000 -0.771 5.637
C 2.431 4.656 0.189


Record 4
4
Lattice="4.245 0.000 0.000 0.000 4.245 0.000 0.000 0.000 7.612" Properties=species:S:1:pos:R:3 comment="PrNd2Tm, optimized geometry, DFT PBE-GGA" dos_ef_per_ev_fu=8.5 e_form_ev_per_atom=0.11 space_group="P4/mmm, No. 123" pbc="T T T"
Pr 2.123 2.123 3.806
Tm 2.123 2.123 0.000
Nd 0.000 0.000 5.813
Nd 0.000 0.000 1.799


Record 5
18
Lattice="-1.390 5.269 0.448 0.201 -0.411 5.449 10.936 2.901 -0.185" Properties=species:S:1:pos:R:3 comment="HoAgPbF6, optimized geometry, DFT PBE-GGA" dos_ef_per_ev_fu=0.0 e_form_raw_ev_per_atom=-2.83 space_group="P4_2nm, No. 102" pbc="T T T"
Ho 8.540 4.853 2.795
Ho 3.667 0.973 -0.062
Ag 4.875 3.881 2.856
Ag 0.002 0.001 0.000
Pb 1.262 2.922 2.917
Pb 7.325 1.943 -0.124
F 5.163 2.041 4.430
F 4.163 5.608 1.290
F 10.352 4.371 1.671
F 9.910 6.179 3.865
F 1.983 1.200 4.481
F 0.985 4.762 1.346
F 7.174 3.526 1.722
F 6.730 5.338 3.921
F 7.992 6.436 1.380
F 8.893 3.218 4.212
F 2.717 4.430 4.167
F 3.232 2.323 1.610


Record 6
16
Lattice="-4.148 -3.715 -6.641 4.691 -7.185 1.215 -4.517 3.607 6.675" Properties=species:S:1:pos:R:3 comment="PrTl2GaSe4, optimized geometry, DFT PBE-GGA" dos_ef_per_ev_fu=1.9 e_form_raw_ev_per_atom=-0.79 space_group="Imma, No. 74" pbc="T T T"
Pr 2.345 -3.592 0.607
Pr -4.061 -5.504 -2.695
Tl -2.074 -1.857 -3.320
Tl -4.332 -0.054 0.017
Tl -6.406 -1.911 -3.303
Tl -4.245 -1.843 3.963
Ga -1.987 -3.646 0.625
Ga -8.664 -0.108 0.035
Se -1.778 -2.673 6.081
Se -4.063 -2.970 -1.146
Se 0.089 -4.323 2.396
Se -2.196 -4.620 -4.831
Se -3.955 -4.712 2.251
Se -2.113 -6.185 -0.472
Se -1.861 -1.107 1.722
Se -0.019 -2.581 -1.001


Record 7
4
Lattice="3.673 0.125 -0.128 1.984 3.094 -0.128 1.553 0.884 6.893" Properties=species:S:1:pos:R:3 comment="Zr2FeSe, optimized geometry, DFT PBE-GGA" dos_ef_per_ev_fu=0.9 e_form_raw_ev_per_atom=-0.53 space_group="C2/m, No. 12" pbc="T T T"
Fe 1.803 1.026 1.659
Se 5.408 3.077 4.977
Zr 0.181 0.103 0.205
Zr 3.424 1.948 3.114


Record 8
6
Lattice="4.093 0.000 0.000 0.000 4.093 0.000 0.000 0.000 11.378" Properties=species:S:1:pos:R:3 comment="Sm4ErTl, optimized geometry, DFT PBE-GGA" dos_ef_per_ev_fu=10.9 e_form_ev_per_atom=-0.04 space_group="P4/mmm, No. 123" pbc="T T T"
Sm 2.046 2.046 1.859
Sm 0.000 0.000 7.383
Sm 0.000 0.000 3.995
Sm 2.046 2.046 9.519
Er 0.000 0.000 0.000
Tl 2.046 2.046 5.689


Record 9
17
Lattice="6.089 0.000 0.000 0.000 7.851 -4.533 0.000 0.000 9.066" Properties=species:S:1:pos:R:3 comment="Pu6CoSb10, optimized geometry, DFT PBE-GGA" dos_ef_per_ev_fu=54.4 e_form_raw_ev_per_atom=-0.47 space_group="P-31m, No. 162" pbc="T T T"
Pu 4.549 3.037 1.754
Pu 4.549 0.000 5.559
Pu 4.549 4.814 -2.779
Pu 1.540 4.814 2.779
Pu 1.540 0.000 3.507
Pu 1.540 3.037 -1.754
Co 3.045 0.000 0.000
Sb 4.618 5.988 3.457
Sb 4.618 0.000 2.152
Sb 4.618 1.864 -1.076
Sb 1.471 1.864 1.076
Sb 1.471 0.000 6.914
Sb 1.471 5.988 -3.457
Sb 3.045 2.617 4.533
Sb 3.045 5.234 0.000
Sb 0.000 5.234 0.000
Sb 0.000 2.617 4.533


Record 10
9
Lattice="-3.262 2.690 -2.435 2.380 -1.233 -4.550 -3.895 -3.047 1.852" Properties=species:S:1:pos:R:3 comment="ErPaCuO6, optimized geometry, DFT PBE-GGA" dos_ef_per_ev_fu=3.7 e_form_raw_ev_per_atom=-2.33 space_group="P312, No. 149" pbc="T T T"
Er -1.343 -0.493 -3.633
Pa -1.803 -2.442 -0.282
Cu -1.631 1.345 -1.217
O -3.511 -0.991 -3.598
O -5.513 -1.375 -1.342
O -3.601 0.989 -1.292
O -1.385 -0.634 -1.413
O -3.056 -3.122 -1.923
O -3.540 -1.451 0.571


Record 11
5
Lattice="-0.268 -4.138 -2.551 4.400 0.880 -1.889 2.067 -2.410 3.691" Properties=species:S:1:pos:R:3 comment="Bi3CN, optimized geometry, DFT PBE-GGA" dos_ef_per_ev_fu=3.3 e_form_raw_ev_per_atom=1.67 space_group="Pm-3m, No. 221" pbc="T T T"
C 3.100 -2.834 -0.375
Bi 2.200 0.440 -0.945
Bi 1.033 -1.205 1.846
Bi -0.134 -2.069 -1.276
N 0.000 0.000 0.000


Record 12
4
Lattice="5.085 -0.003 0.000 -1.784 4.761 0.000 0.000 0.000 2.896" Properties=species:S:1:pos:R:3 comment="Hg2IrOs, optimized geometry, DFT PBE-GGA" dos_ef_per_ev_fu=5.2 e_form_ev_per_atom=0.95 space_group="Cmmm, No. 65" pbc="T T T"
Hg 0.000 0.000 0.000
Hg 1.650 2.379 0.000
Ir 2.542 -0.002 1.448
Os -0.892 2.381 1.448